<A>
Below is an optimized crystal structure of LaTi2Re, with properties calculated at the PBE level.

abc: 4.720 4.720 9.587
angles: 75.75 75.75 90.00
Sites, in units of the cell vectors:
1 Ti 0.843 0.625 0.250
2 Ti 0.907 0.125 0.250
3 Ti 0.375 0.093 0.750
4 Ti 0.875 0.157 0.750
5 Re 0.750 0.250 0.500
6 Re 0.000 0.000 0.000
7 La 0.500 0.500 0.000
8 La 0.250 0.750 0.500

## Properties
crystal system	tetragonal
DOS(E_F)	1.2586	states/eV/atom
total moment	0.000	μB per atom

***

<B>
Below is an optimized crystal structure of LaTi2Re, with properties calculated at the PBE level.

abc: 4.719 4.719 4.719
angles: 60.00 60.00 60.00
Sites, in units of the cell vectors:
1 Ti 0.750 0.750 0.750
2 Ti 0.250 0.250 0.250
3 Re 0.500 0.500 0.500
4 La 0.000 0.000 0.000

## Properties
crystal system	cubic
DOS(E_F)	1.7350	states/eV/atom
total moment	0.000	μB per atom

***

The relative energies come out as <A> 580; <B> 0, with values in meV per atom.

***

<A>
Below is an optimized crystal structure of La2TiRe, with properties calculated at the PBE level.

abc: 5.146 5.146 5.146
angles: 60.00 60.00 60.00
Last column: magnetic moment on the atom in μB.
Sites, in units of the cell vectors:
1 Ti 0.000 0.000 0.000  1.42
2 La 0.250 0.250 0.250  0.15
3 La 0.750 0.750 0.750  0.15
4 Re 0.500 0.500 0.500  0.11

## Properties
crystal system	cubic
DOS(E_F)	1.6359	states/eV/atom
total moment	0.598	μB per atom

***

<B>
Below is an optimized crystal structure of La2TiRe, with properties calculated at the PBE level.

abc: 10.523 10.523 7.823
angles: 47.73 47.73 90.00
Sites, in units of the cell vectors:
1 Ti 0.500 0.500 0.000
2 Ti 0.250 0.750 0.500
3 La 0.375 0.220 0.750
4 La 0.875 0.030 0.750
5 La 0.970 0.625 0.250
6 La 0.780 0.125 0.250
7 Re 0.000 0.000 0.000
8 Re 0.750 0.250 0.500

## Properties
crystal system	tetragonal
DOS(E_F)	1.7376	states/eV/atom
total moment	0.000	μB per atom

***

The relative energies come out as <A> 0; <B> 58, with values in meV per atom.

***

<A>
Below is an optimized crystal structure of LaTiTlRe2, with properties calculated at the PBE level.

abc: 4.675 5.474 4.675
angles: 90.00 90.00 90.00
Sites, in units of the cell vectors:
1 Ti 0.000 0.000 0.000
2 Re 0.000 0.000 0.500
3 Re 0.500 0.000 0.000
4 La 0.000 0.500 0.000
5 Tl 0.500 0.500 0.500

## Properties
crystal system	tetragonal
DOS(E_F)	1.4396	states/eV/atom
total moment	0.000	μB per atom

***

<B>
Below is an optimized crystal structure of LaTiTlRe2, with properties calculated at the PBE level.

abc: 5.096 4.897 5.096
angles: 90.00 90.00 90.00
Sites, in units of the cell vectors:
1 La 0.500 0.500 0.500
2 Re 0.500 0.000 0.000
3 Re 0.000 0.000 0.500
4 Tl 0.000 0.000 0.000
5 Ti 0.000 0.500 0.000

## Properties
crystal system	tetragonal
DOS(E_F)	1.6224	states/eV/atom
total moment	0.005	μB per atom

***

The relative energies come out as <A> 0; <B> 592, with values in meV per atom.

***

<A>
Below is an optimized crystal structure of La2TlRe, with properties calculated at the PBE level.

abc: 3.490 3.498 9.741
angles: 69.09 90.00 90.00
Sites, in units of the cell vectors:
1 Re 0.500 0.250 0.250
2 La 0.000 0.948 0.053
3 La 0.000 0.552 0.447
4 Tl 0.500 0.750 0.750

## Properties
crystal system	monoclinic
DOS(E_F)	1.1477	states/eV/atom
total moment	0.000	μB per atom

***

<B>
Below is an optimized crystal structure of La2TlRe, with properties calculated at the PBE level.

abc: 5.328 5.328 5.328
angles: 60.00 60.00 60.00
Sites, in units of the cell vectors:
1 La 0.750 0.750 0.750
2 La 0.250 0.250 0.250
3 Tl 0.500 0.500 0.500
4 Re 0.000 0.000 0.000

## Properties
crystal system	cubic
DOS(E_F)	0.8068	states/eV/atom
total moment	0.000	μB per atom

***

<C>
Below is an optimized crystal structure of La2TlRe, with properties calculated at the PBE level.

abc: 6.733 6.733 6.733
angles: 149.22 135.14 55.39
Sites, in units of the cell vectors:
1 Tl 0.306 0.806 0.500
2 La 0.696 0.196 0.500
3 La 0.002 0.002 0.000
4 Re 0.496 0.496 0.000

## Properties
crystal system	orthorhombic
DOS(E_F)	0.7325	states/eV/atom
total moment	0.000	μB per atom

***

<D>
Below is an optimized crystal structure of La2TlRe, with properties calculated at the PBE level.

abc: 10.142 10.142 10.142
angles: 19.92 19.92 19.92
Sites, in units of the cell vectors:
1 Re 0.499 0.499 0.499
2 La 0.004 0.004 0.004
3 La 0.235 0.235 0.235
4 Tl 0.762 0.762 0.762

## Properties
crystal system	trigonal
DOS(E_F)	1.1260	states/eV/atom
total moment	0.000	μB per atom

***

The relative energies come out as <A> 0; <B> 150; <C> 135; <D> 514, with values in meV per atom.